Compound: MgTaSi
Source: Alexandria
Functional: PBEsol
Structure: relaxed

Cell: 6.186 6.186 6.186 Å, 90.00 90.00 90.00°
Space group F-43m (No. 216)
Symmetry-distinct sites (fractional):
1 Mg 0.000 0.000 0.000 (multiplicity 4)
2 Ta 0.250 0.250 0.750 (multiplicity 4)
3 Si 0.000 0.000 0.500 (multiplicity 4)

Calculated values
**Formation energy (no corrections)**: 0.709 eV/atom
**Crystal system**: cubic
**V**: 237 Å³ per cell

=====

Compound: SrHfCoI2
Source: Alexandria
Functional: PBEsol
Structure: relaxed

Cell: 5.953 5.953 5.209 Å, 90.00 90.00 90.00°
Space group P4/mmm (No. 123)
Symmetry-distinct sites (fractional):
1 Sr 0.000 0.000 0.000 (multiplicity 1)
2 Hf 0.500 0.500 0.500 (multiplicity 1)
3 Co 0.000 0.000 0.500 (multiplicity 1)
4 I 0.000 0.500 0.000 (multiplicity 2)

Calculated values
**Formation energy (no corrections)**: 1.171 eV/atom
**Crystal system**: tetragonal
**V**: 185 Å³ per cell

=====

Compound: MgO
Source: Alexandria
Functional: PBEsol
Structure: relaxed

Cell: 2.9712 2.9712 59.4142 Å, 90.00 90.00 120.00°
Space group R-3m (No. 166, hexagonal axes)
Symmetry-distinct sites (fractional):
1 Mg 0.0000 0.0000 0.0000 (multiplicity 3)
2 Mg 0.0000 0.0000 0.0846 (multiplicity 6)
3 Mg 0.0000 0.0000 0.2077 (multiplicity 6)
4 Mg 0.0000 0.0000 0.3756 (multiplicity 6)
5 Mg 0.0000 0.0000 0.5000 (multiplicity 3)
6 O 0.0000 0.0000 0.1461 (multiplicity 6)
7 O 0.0000 0.0000 0.2692 (multiplicity 6)
8 O 0.0000 0.0000 0.3129 (multiplicity 6)
9 O 0.0000 0.0000 0.4384 (multiplicity 6)

Calculated values
**Formation energy (no corrections)**: -2.686 eV/atom
**Crystal system**: trigonal
**V**: 454 Å³ per cell

=====

no.,total magnetic moment (μB/atom)
1,0.002
2,0.172
3,0.000